A plane-wave DFT calculation with PBE was carried out for LaAgW3 after structural relaxation.

a b c (Å): 4.8422 4.8422 4.8422
angles (deg): 90.00 90.00 90.00
Space group Pm-3m (No. 221)
Unique sites:
La 0.0000 0.0000 0.0000 x1
Ag 0.5000 0.5000 0.5000 x1
W 0.0000 0.0000 0.5000 x3

## Properties
Spin magnetization ... 0.00 Bohr magnetons per cell
Calculated total energy ... -32.01 eV per cell
Volume ... 22.71 A^3/atom
Formation energy ... 282 kJ/mol of atoms

A plane-wave DFT calculation with PBE was carried out for LaAgW after structural relaxation.

a b c (Å): 2.9492 3.9610 11.4903
angles (deg): 90.00 90.00 90.00
Space group Imm2 (No. 44)
Unique sites:
La 0.0000 0.0000 0.0000 x2
Ag 0.0000 0.0000 0.7006 x2
W 0.0000 0.0000 0.3150 x2

## Properties
Spin magnetization ... 0.00 Bohr magnetons per cell
Calculated total energy ... -37.22 eV per cell
Volume ... 22.37 A^3/atom
Formation energy ... 68 kJ/mol of atoms

A plane-wave DFT calculation with PBE was carried out for LaAgW2 after structural relaxation.

a b c (Å): 2.7601 4.5440 6.5657
angles (deg): 90.00 90.00 90.00
Space group Pmmm (No. 47)
Unique sites:
La 0.0000 0.0000 0.0000 x1
Ag 0.0000 0.0000 0.5000 x1
W 0.5000 0.5000 0.3068 x2

## Properties
Spin magnetization ... 0.00 Bohr magnetons per cell
Calculated total energy ... -30.11 eV per cell
Volume ... 20.59 A^3/atom
Formation energy ... 86 kJ/mol of atoms

A plane-wave DFT calculation with PBE was carried out for La2AgW after structural relaxation.

a b c (Å): 11.6768 3.1189 5.6171
angles (deg): 90.00 103.36 90.00
Space group Cm (No. 8)
Unique sites:
La 0.0000 0.0000 0.0000 x2
La 0.1927 0.0000 0.6233 x2
Ag 0.2620 0.5000 0.1658 x2
W 0.4428 0.0000 0.4880 x2

## Properties
Spin magnetization ... 0.00 Bohr magnetons per cell
Calculated total energy ... -48.14 eV per cell
Volume ... 24.88 A^3/atom
Formation energy ... 38 kJ/mol of atoms

A plane-wave DFT calculation with PBE was carried out for LaAgW2 after structural relaxation.

a b c (Å): 2.7931 2.7931 9.9183
angles (deg): 90.00 90.00 90.00
Space group P4/mmm (No. 123)
Unique sites:
La 0.0000 0.0000 0.0000 x1
Ag 0.0000 0.0000 0.5000 x1
W 0.5000 0.5000 0.2769 x2

## Properties
Spin magnetization ... 0.00 Bohr magnetons per cell
Calculated total energy ... -30.47 eV per cell
Volume ... 19.34 A^3/atom
Formation energy ... 78 kJ/mol of atoms

A plane-wave DFT calculation with PBE was carried out for LaAg2W after structural relaxation.

a b c (Å): 4.2234 4.2234 20.8753
angles (deg): 90.00 90.00 90.00
Space group I-42d (No. 122)
Unique sites:
La 0.0000 0.0000 0.0000 x4
Ag 0.2083 0.2500 0.6250 x8
W 0.0000 0.0000 0.5000 x4

## Properties
Spin magnetization ... 5.68 Bohr magnetons per cell
Calculated total energy ... -79.54 eV per cell
Volume ... 23.27 A^3/atom
Formation energy ... 89 kJ/mol of atoms

A plane-wave DFT calculation with PBE was carried out for La2AgW after structural relaxation.

a b c (Å): 3.3573 3.8993 8.1703
angles (deg): 90.00 90.00 90.00
Space group Pmm2 (No. 25)
Unique sites:
La 0.0000 0.0000 0.0000 x1
La 0.5000 0.5000 0.3859 x1
Ag 0.5000 0.5000 0.7716 x1
W 0.0000 0.0000 0.6310 x1

## Properties
Spin magnetization ... 0.00 Bohr magnetons per cell
Calculated total energy ... -23.43 eV per cell
Volume ... 26.74 A^3/atom
Formation energy ... 54 kJ/mol of atoms

A plane-wave DFT calculation with PBE was carried out for La2AgW after structural relaxation.

a b c (Å): 3.6729 4.9024 5.3426
angles (deg): 90.00 90.00 90.00
Space group Pmmm (No. 47)
Unique sites:
La 0.0000 0.0000 0.0000 x1
La 0.5000 0.0000 0.5000 x1
Ag 0.0000 0.5000 0.5000 x1
W 0.5000 0.5000 0.0000 x1

## Properties
Spin magnetization ... 0.00 Bohr magnetons per cell
Calculated total energy ... -22.91 eV per cell
Volume ... 24.05 A^3/atom
Formation energy ... 66 kJ/mol of atoms

Q: Among the records above, which one has the highest calculated total energy?
A: number 8

Q: Look up the spin magnetization of the seventh one.
A: 0.00 Bohr magnetons per cell

What did the seventh record say?
A plane-wave DFT calculation with PBE was carried out for La2AgW after structural relaxation.

a b c (Å): 3.3573 3.8993 8.1703
angles (deg): 90.00 90.00 90.00
Space group Pmm2 (No. 25)
Unique sites:
La 0.0000 0.0000 0.0000 x1
La 0.5000 0.5000 0.3859 x1
Ag 0.5000 0.5000 0.7716 x1
W 0.0000 0.0000 0.6310 x1

## Properties
Spin magnetization ... 0.00 Bohr magnetons per cell
Calculated total energy ... -23.43 eV per cell
Volume ... 26.74 A^3/atom
Formation energy ... 54 kJ/mol of atoms

Q: Among the records above, which one has the highest spin magnetization?
A: LaAg2W